No. 1
Below is a relaxed structure of LaNF2, with properties calculated at the PBE-GGA level.

formation energy without anion corrections: -1.8277 eV per atom
total magnetization: 4.00 μB/cell
distance to the lowest polymorph of the same formula: 0.3013 eV per atom
DOS(E_F): 3.00 states/eV/cell

Cell: 3.9455 3.9455 8.4963 Å, 76.57 76.57 90.00°
Sites, in units of the cell vectors:
1 F 0.8750 0.9209 0.7500
2 F 0.3750 0.3291 0.7500
3 F 0.6709 0.1250 0.2500
4 F 0.0791 0.6250 0.2500
5 N 0.5000 0.5000 0.0000
6 N 0.2500 0.7500 0.5000
7 La 0.7500 0.2500 0.5000
8 La 0.0000 0.0000 0.0000

***

No. 2
Below is a relaxed structure of Sr3ZnI3, with properties calculated at the PBE-GGA level.

formation energy without anion corrections: -1.0740 eV per atom
total magnetization: 4.29 μB/cell
DOS(E_F): 10.15 states/eV/cell

Cell: 11.5504 11.5504 11.5504 Å, 109.47 109.47 109.47°
Sites, in units of the cell vectors:
1 Sr 0.9933 0.7500 0.0067
2 Sr 0.9866 0.4933 0.2433
3 Sr 0.5134 0.2567 0.0067
4 Sr 0.9933 0.2433 0.4866
5 Sr 0.2500 0.2433 0.2567
6 Sr 0.7567 0.0067 0.0134
7 Sr 0.7567 0.7500 0.2433
8 Sr 0.7433 0.2567 0.7500
9 Sr 0.7433 0.4866 0.4933
10 Sr 0.5067 0.4933 0.7500
11 Sr 0.2500 0.0067 0.4933
12 Sr 0.5067 0.0134 0.2567
13 I 0.2542 0.7458 0.2500
14 I 0.0042 0.2500 0.9958
15 I 0.0042 0.7542 0.5085
16 I 0.2458 0.9958 0.9915
17 I 0.0085 0.5042 0.7542
18 I 0.4915 0.7458 0.9958
19 I 0.2458 0.2500 0.7542
20 I 0.7500 0.7542 0.7458
21 I 0.4958 0.5042 0.2500
22 I 0.4958 0.9915 0.7458
23 I 0.2542 0.5085 0.5042
24 I 0.7500 0.9958 0.5042
25 Zn 0.7500 0.2500 0.2500
26 Zn 0.5000 0.2500 0.5000
27 Zn 0.7500 0.5000 0.0000
28 Zn 0.0000 0.0000 0.2500

***

No. 3
Below is a relaxed structure of La3Zr5, with properties calculated at the PBE-GGA level.

total magnetization: 0.00 μB/cell
ΔH_f (0 K): 406 meV per atom
DOS(E_F): 22.48 states/eV/cell

Cell: 9.1380 9.1383 6.0520 Å, 90.00 90.00 60.00°
Sites, in units of the cell vectors:
1 Zr 0.8053 0.0000 0.7500
2 Zr 0.1947 0.8053 0.7500
3 Zr 0.8053 0.1947 0.2500
4 Zr 0.1947 0.0000 0.2500
5 Zr 0.6667 0.6667 0.5000
6 Zr 0.0000 0.1947 0.7500
7 Zr 0.6667 0.6667 0.0000
8 Zr 0.3333 0.3333 0.0000
9 Zr 0.0000 0.8053 0.2500
10 Zr 0.3333 0.3333 0.5000
11 La 0.4116 0.5884 0.2500
12 La 0.5884 0.4116 0.7500
13 La 0.0000 0.5885 0.7500
14 La 0.0000 0.4116 0.2500
15 La 0.4116 0.0000 0.7500
16 La 0.5884 0.0000 0.2500

***

No. 4
Below is a relaxed structure of PmScNbN3, with properties calculated at the PBE-GGA level.

formation energy without anion corrections: -1.3936 eV per atom
total magnetization: 0.00 μB/cell
DOS(E_F): 4.66 states/eV/cell

Cell: 3.3194 5.7232 8.4837 Å, 103.87 90.00 90.00°
Sites, in units of the cell vectors:
1 Sc 0.7500 0.2276 0.9574
2 Sc 0.2500 0.7724 0.0426
3 Pm 0.7500 0.6576 0.6926
4 Pm 0.2500 0.3424 0.3074
5 N 0.7500 0.5581 0.1657
6 N 0.7500 0.2435 0.5139
7 N 0.2500 0.7565 0.4861
8 N 0.2500 0.4419 0.8343
9 N 0.2500 0.9666 0.8447
10 N 0.7500 0.0334 0.1553
11 Nb 0.2500 0.1395 0.6446
12 Nb 0.7500 0.8605 0.3554

***

No. 5
Below is a relaxed structure of Al2OsRu, with properties calculated at the PBE-GGA level.

total magnetization: 0.31 μB/cell
ΔH_f (0 K): 132 meV per atom
DOS(E_F): 4.19 states/eV/cell

Cell: 2.7426 2.7426 8.7013 Å, 90.00 90.00 115.65°
Sites, in units of the cell vectors:
1 Os 0.0000 0.0000 0.4960
2 Ru 0.5000 0.5000 0.7568
3 Al 0.0000 0.0000 0.9880
4 Al 0.5000 0.5000 0.2591

***

No. 6
Below is a relaxed structure of BaNdSb2Pd2, with properties calculated at the PBE-GGA level.

formation energy without anion corrections: -1.0026 eV per atom
total magnetization: 0.00 μB/cell
DOS(E_F): 2.67 states/eV/cell

Cell: 4.6155 4.6155 9.0011 Å, 90.00 90.00 120.00°
Sites, in units of the cell vectors:
1 Sb 0.6667 0.3333 0.7277
2 Sb 0.3333 0.6667 0.2723
3 Nd 0.0000 0.0000 0.5000
4 Pd 0.6667 0.3333 0.2855
5 Pd 0.3333 0.6667 0.7145
6 Ba 0.0000 0.0000 0.0000

***

No. 7
Below is a relaxed structure of Pr7Ho3Mg, with properties calculated at the PBE-GGA level.

total magnetization: 0.00 μB/cell
ΔH_f (0 K): 177 meV per atom
distance to the lowest polymorph of the same formula: 0.0000 eV per atom
DOS(E_F): 14.78 states/eV/cell

Cell: 8.7112 7.1738 7.1738 Å, 120.00 90.00 90.00°
Sites, in units of the cell vectors:
1 Pr 0.1118 0.1671 0.3342
2 Pr 0.4542 0.8316 0.1684
3 Pr 0.4542 0.3369 0.1684
4 Pr 0.1162 0.6667 0.3333
5 Pr 0.1118 0.1671 0.8329
6 Pr 0.4542 0.8316 0.6631
7 Pr 0.1118 0.6658 0.8329
8 Mg 0.4525 0.3333 0.6667
9 Ho 0.7828 0.5008 0.0015
10 Ho 0.7828 0.5008 0.4992
11 Ho 0.7828 0.9985 0.4992

***

No. 8
Below is a relaxed structure of MnFeAg2, with properties calculated at the PBE-GGA level.

total magnetization: 6.54 μB/cell
ΔH_f (0 K): 394 meV per atom
distance to the lowest polymorph of the same formula: 0.1380 eV per atom
DOS(E_F): 2.86 states/eV/cell

Cell: 5.3973 5.3973 5.3973 Å, 149.05 128.31 61.48°
Sites, in units of the cell vectors:
1 Ag 0.7393 0.2393 0.5000
2 Ag 0.0066 0.0066 0.0000
3 Mn 0.2638 0.7638 0.5000
4 Fe 0.4904 0.4904 0.0000

***

No. 9
Below is a relaxed structure of PtRh2, with properties calculated at the PBE-GGA level.

total magnetization: 0.00 μB/cell
ΔH_f (0 K): -24 meV per atom
distance to the lowest polymorph of the same formula: 0.0015 eV per atom
DOS(E_F): 9.49 states/eV/cell

Cell: 3.8700 6.1548 3.8880 Å, 90.00 90.00 71.68°
Sites, in units of the cell vectors:
1 Rh 0.5857 0.8286 0.2500
2 Rh 0.7507 0.4986 0.7500
3 Rh 0.2493 0.5014 0.2500
4 Rh 0.4143 0.1714 0.7500
5 Pt 0.9152 0.1695 0.2500
6 Pt 0.0848 0.8305 0.7500

***

No. 10
Below is a relaxed structure of TbScCSe, with properties calculated at the PBE-GGA level.

formation energy without anion corrections: -1.0868 eV per atom
total magnetization: 0.00 μB/cell
DOS(E_F): 0.07 states/eV/cell

Cell: 3.6220 3.6222 6.8418 Å, 90.00 105.35 120.00°
Sites, in units of the cell vectors:
1 Se 0.9564 0.3763 0.3477
2 Tb 0.5059 0.1509 0.6721
3 Sc 0.1032 0.9496 0.0681
4 C 0.3124 0.5540 0.8817

***

No. 11
Below is a relaxed structure of Be2ReBr, with properties calculated at the PBE-GGA level.

formation energy without anion corrections: 0.4634 eV per atom
total magnetization: 0.00 μB/cell
distance to the lowest polymorph of the same formula: 0.0811 eV per atom
DOS(E_F): 0.58 states/eV/cell

Cell: 3.1994 3.3535 5.8449 Å, 77.06 90.00 90.00°
Sites, in units of the cell vectors:
1 Br 0.0000 0.7223 0.5128
2 Be 0.0000 0.1174 0.9279
3 Be 0.5000 0.0264 0.1730
4 Re 0.5000 0.6339 0.8862

***

No. 12
Below is a relaxed structure of CdAs2Se, with properties calculated at the PBE-GGA level.

formation energy without anion corrections: 0.1187 eV per atom
total magnetization: 0.00 μB/cell
distance to the lowest polymorph of the same formula: 0.2335 eV per atom
DOS(E_F): 1.97 states/eV/cell

Cell: 6.8522 6.8522 6.8522 Å, 148.71 146.40 46.57°
Sites, in units of the cell vectors:
1 Cd 0.5451 0.5451 0.0000
2 As 0.8055 0.3055 0.5000
3 As 0.9461 0.9461 0.0000
4 Se 0.2033 0.7033 0.5000